The following is a DFT calculation (PBE) of a geometry-optimized GdNpB4 structure.

Cell lengths 6.713, 6.713, 6.713 Å; angles 90.00, 90.00, 90.00 degrees
Space group F-43m (No. 216)
Inequivalent atoms, fractional coordinates:
Gd  0.000  0.000  0.000 (multiplicity 4)
Np  0.250  0.250  0.250 (multiplicity 4)
B  0.093  0.093  0.593 (multiplicity 16)

Results
The calculation puts the calculated volume at 12.61 Å³/atom. The formation energy is 425 meV per atom. The total energy is -8.53 eV per atom.



The following is a DFT calculation (PBE) of a geometry-optimized Gd5Si2BO13 structure.

Cell lengths 9.348, 6.906, 9.381 Å; angles 90.00, 119.75, 90.00 degrees
Space group Pm (No. 6)
Inequivalent atoms, fractional coordinates:
Gd  0.000  0.000  0.000 (multiplicity 1)
Gd  0.002  0.500  0.248 (multiplicity 1)
Gd  0.112  0.251  0.682 (multiplicity 2)
Gd  0.423  0.250  0.337 (multiplicity 2)
Gd  0.509  0.000  0.776 (multiplicity 1)
Gd  0.516  0.500  0.998 (multiplicity 1)
Gd  0.735  0.500  0.761 (multiplicity 1)
Gd  0.742  0.000  0.229 (multiplicity 1)
Si  0.122  0.500  0.976 (multiplicity 1)
Si  0.162  0.000  0.379 (multiplicity 1)
Si  0.731  0.000  0.608 (multiplicity 1)
Si  0.791  0.500  0.411 (multiplicity 1)
B  0.353  0.500  0.631 (multiplicity 1)
B  0.388  0.000  0.038 (multiplicity 1)
O  0.002  0.311  0.914 (multiplicity 2)
O  0.093  0.000  0.506 (multiplicity 1)
O  0.105  0.189  0.257 (multiplicity 2)
O  0.167  0.500  0.540 (multiplicity 1)
O  0.228  0.500  0.881 (multiplicity 1)
O  0.243  0.500  0.174 (multiplicity 1)
O  0.279  0.000  0.856 (multiplicity 1)
O  0.295  0.000  0.130 (multiplicity 1)
O  0.364  0.000  0.478 (multiplicity 1)
O  0.405  0.323  0.743 (multiplicity 2)
O  0.424  0.500  0.521 (multiplicity 1)
O  0.497  0.178  0.091 (multiplicity 2)
O  0.592  0.500  0.335 (multiplicity 1)
O  0.630  0.000  0.406 (multiplicity 1)
O  0.663  0.190  0.661 (multiplicity 2)
O  0.758  0.000  0.999 (multiplicity 1)
O  0.759  0.500  0.009 (multiplicity 1)
O  0.850  0.310  0.348 (multiplicity 2)
O  0.893  0.500  0.612 (multiplicity 1)
O  0.931  0.000  0.688 (multiplicity 1)

Results
The calculation puts the calculated volume at 12.52 Å³/atom. The raw formation energy comes out at -3.2328 eV per atom. The total energy is -10.49 eV per atom.



The following is a DFT calculation (PBE) of a geometry-optimized GdBOs structure.

Cell lengths 3.009, 3.009, 10.162 Å; angles 90.00, 90.00, 90.00 degrees
Space group I4mm (No. 107)
Inequivalent atoms, fractional coordinates:
Gd  0.000  0.000  0.000 (multiplicity 2)
B  0.000  0.000  0.710 (multiplicity 2)
Os  0.000  0.000  0.278 (multiplicity 2)

Results
The calculation puts the calculated volume at 15.34 Å³/atom. The formation energy is -101 meV per atom. The total energy is -10.76 eV per atom. For the excess energy over the best structure of this formula in the dataset, the calculation gives 0.75 eV per formula unit.



The following is a DFT calculation (PBE) of a geometry-optimized GdB2Os2 structure.

Cell lengths 6.707, 8.994, 9.879 Å; angles 90.00, 90.00, 90.00 degrees
Space group Fddd (No. 70, origin choice 2)
Inequivalent atoms, fractional coordinates:
Gd  0.125  0.125  0.125 (multiplicity 8)
B  0.125  0.314  0.625 (multiplicity 16)
Os  0.125  0.125  0.487 (multiplicity 16)

Results
The calculation puts the calculated volume at 14.90 Å³/atom. The formation energy is -464 meV per atom. The total energy is -10.44 eV per atom.